A plane-wave DFT calculation with PBE with a Hubbard U was carried out for GaNiClO2 after structural relaxation.

Properties
D(E_F) = 0.00 states/eV/cell
Energy = -47.55 eV/cell

Cell lengths 5.9476, 3.4732, 7.8786 Å; angles 90.00, 110.20, 90.00 degrees
Space group P2_1/m (No. 11)
Inequivalent atoms, fractional coordinates:
1 Ga 0.1185 0.2500 0.1643 x2
2 Ni 0.1362 0.2500 0.6543 x2
3 Cl 0.4710 0.7500 0.7611 x2
4 O 0.0403 0.2500 0.8928 x2
5 O 0.0665 0.2500 0.3866 x2